# 1
DFT (PBE) results for crystalline NdDy3Ho4Se8 at its relaxed geometry.

Cell and atoms, written as extended XYZ:
```
16
Lattice="4.083 2.358 6.683 -4.083 2.358 6.683 0.000 -4.715 6.683" Properties=species:S:1:pos:R:3 pbc="T T T"
Nd 0.000 0.000 0.000
Dy -2.042 -1.179 6.683
Dy -2.042 1.179 13.367
Dy 0.000 2.358 6.683
Ho -4.083 0.000 10.025
Ho -2.042 1.179 3.342
Ho 2.042 1.179 3.342
Ho 0.000 0.000 10.025
Se 0.000 0.000 4.999
Se -2.003 -1.157 11.650
Se 0.000 -2.313 8.399
Se -2.003 1.157 8.399
Se 2.003 -1.157 11.650
Se 0.000 2.313 11.650
Se 2.003 1.157 8.399
Se 0.000 0.000 15.051
```

Calculated values
total moment: 0.000 μB per atom
formation energy (no corrections): -1.74 eV per atom


# 2
DFT (PBE) results for crystalline Np2GeP at its relaxed geometry.

Cell and atoms, written as extended XYZ:
```
4
Lattice="1.978 1.142 6.900 -1.978 1.142 6.900 0.000 -2.284 6.900" Properties=species:S:1:pos:R:3 pbc="T T T"
Np 0.000 0.000 5.083
Np 0.000 0.000 15.618
Ge 0.000 0.000 0.000
P 0.000 0.000 10.350
```

Calculated values
E above lowest polymorph: 46 meV per atom
total moment: 1.812 μB per atom


# 3
DFT (PBE) results for crystalline PmPuCd at its relaxed geometry.

Cell and atoms, written as extended XYZ:
```
3
Lattice="-1.735 1.735 7.096 1.735 -1.735 7.096 1.735 1.735 -7.096" Properties=species:S:1:pos:R:3 pbc="T T T"
Pm 0.000 0.000 0.000
Pu 0.000 0.000 9.691
Cd 0.000 0.000 4.835
```

Calculated values
E above lowest polymorph: 0 meV per atom
total moment: 2.064 μB per atom


# 4
DFT (PBE) results for crystalline CoPtAu2Se at its relaxed geometry.

Cell and atoms, written as extended XYZ:
```
5
Lattice="4.856 0.000 0.000 0.000 4.856 0.000 0.000 0.000 4.260" Properties=species:S:1:pos:R:3 pbc="T T T"
Co 0.000 0.000 0.000
Pt 2.428 2.428 0.000
Au 0.000 2.428 2.130
Au 2.428 0.000 2.130
Se 0.000 0.000 2.130
```

Calculated values
total moment: 0.224 μB per atom
formation energy (no corrections): 0.84 eV per atom


# 5
DFT (PBE) results for crystalline LaCuSn3 at its relaxed geometry.

Cell and atoms, written as extended XYZ:
```
10
Lattice="10.312 -2.501 0.000 10.312 2.501 0.000 -1.320 0.000 5.050" Properties=species:S:1:pos:R:3 pbc="T T T"
La 1.404 0.000 1.719
La 17.901 0.000 3.331
Cu 6.897 0.000 0.459
Cu 12.408 0.000 4.591
Sn 2.871 0.000 4.799
Sn 5.319 0.000 2.743
Sn 9.356 0.000 1.098
Sn 9.948 0.000 3.952
Sn 13.986 0.000 2.307
Sn 16.434 0.000 0.251
```

Calculated values
E above lowest polymorph: 112 meV per atom
total moment: 0.000 μB per atom


# 6
DFT (PBE) results for crystalline AlPPb at its relaxed geometry.

Cell and atoms, written as extended XYZ:
```
3
Lattice="-1.735 1.735 5.758 1.735 -1.735 5.758 1.735 1.735 -5.758" Properties=species:S:1:pos:R:3 pbc="T T T"
Al 0.000 0.000 0.000
P 0.000 0.000 5.439
Pb 0.000 0.000 8.241
```

Calculated values
E above lowest polymorph: 81 meV per atom
total moment: 0.000 μB per atom


# 7
DFT (PBE) results for crystalline CdTcAsI2 at its relaxed geometry.

Cell and atoms, written as extended XYZ:
```
5
Lattice="5.714 0.000 0.000 0.000 5.714 0.000 0.000 0.000 5.403" Properties=species:S:1:pos:R:3 pbc="T T T"
Cd 0.000 0.000 0.000
Tc 2.857 2.857 0.000
As 0.000 0.000 2.701
I 0.000 2.857 2.701
I 2.857 0.000 2.701
```

Calculated values
E above lowest polymorph: 315 meV per atom
total moment: 0.985 μB per atom
formation energy (no corrections): 1.06 eV per atom


# 8
DFT (PBE) results for crystalline AcTb5Sm5 at its relaxed geometry.

Cell and atoms, written as extended XYZ:
```
11
Lattice="6.213 0.000 0.000 -3.106 5.380 0.000 0.000 0.000 11.672" Properties=species:S:1:pos:R:3 pbc="T T T"
Ac 0.000 0.000 0.000
Tb -1.549 2.693 5.836
Tb 1.549 2.693 5.836
Tb 0.000 5.375 5.836
Tb 3.106 1.793 3.099
Tb 3.106 1.793 8.573
Sm 0.000 0.000 3.891
Sm 0.000 0.000 7.781
Sm 0.000 3.587 1.880
Sm 0.000 3.587 9.792
Sm 3.106 1.793 0.000
```

Calculated values
total moment: 0.000 μB per atom
electronic total energy: -4.338 eV/atom


# 9
DFT (PBE) results for crystalline RbZrCu2Pd at its relaxed geometry.

Cell and atoms, written as extended XYZ:
```
5
Lattice="4.907 0.000 0.000 0.000 4.907 0.000 0.000 0.000 5.292" Properties=species:S:1:pos:R:3 pbc="T T T"
Rb 0.000 0.000 0.000
Zr 2.454 2.454 0.000
Cu 0.000 2.454 2.646
Cu 2.454 0.000 2.646
Pd 0.000 0.000 2.646
```

Calculated values
total moment: 0.534 μB per atom
electronic total energy: -3.381 eV/atom


# 10
DFT (PBE) results for crystalline KPr5C2Cl10 at its relaxed geometry.

Cell and atoms, written as extended XYZ:
```
36
Lattice="8.539 0.000 0.000 -4.270 7.395 0.000 0.000 0.000 15.497" Properties=species:S:1:pos:R:3 pbc="T T T"
K 0.000 0.000 0.000
K 0.000 0.000 7.748
Pr -1.473 3.057 3.118
Pr 0.000 4.930 0.073
Pr 0.000 4.930 6.148
Pr -0.886 7.143 3.118
Pr 1.911 2.804 10.866
Pr 2.359 4.591 3.118
Pr 5.155 0.253 10.866
Pr 4.270 2.465 7.822
Pr 4.270 2.465 13.896
Pr 5.743 4.338 10.866
C 0.000 4.930 2.372
C 0.000 4.930 3.817
C 4.270 2.465 10.121
C 4.270 2.465 11.566
Cl -1.373 2.414 5.915
Cl -0.992 1.882 10.501
Cl -2.534 4.712 8.023
Cl -2.144 7.314 10.501
Cl 1.133 1.800 2.752
Cl -1.493 7.377 5.915
Cl 1.404 2.396 13.663
Cl 0.000 4.930 11.557
Cl 1.456 2.844 8.023
Cl 3.191 0.161 0.274
Cl 1.078 7.234 8.023
Cl 2.814 4.551 0.274
Cl 4.270 2.465 3.808
Cl 2.865 4.999 5.915
Cl 5.762 0.018 13.663
Cl 3.136 5.595 10.501
Cl 6.414 0.082 2.752
Cl 6.804 2.683 0.274
Cl 5.262 5.514 2.752
Cl 5.642 4.981 13.663
```

Calculated values
total moment: 0.000 μB per atom
formation energy (no corrections): -1.88 eV per atom


# 11
DFT (PBE) results for crystalline HfCrAgS4 at its relaxed geometry.

Cell and atoms, written as extended XYZ:
```
14
Lattice="6.089 0.000 0.000 0.000 3.606 0.000 -0.570 0.000 12.981" Properties=species:S:1:pos:R:3 pbc="T T T"
Hf -0.069 0.000 3.221
Hf 5.588 0.000 9.760
Cr 2.424 1.803 9.695
Cr 3.095 1.803 3.286
Ag -0.285 0.000 6.490
Ag 3.045 1.803 0.000
S 0.482 1.803 11.227
S 1.069 1.803 4.644
S 1.557 0.000 8.310
S 2.141 0.000 1.931
S 3.378 0.000 11.050
S 3.962 0.000 4.671
S 4.450 1.803 8.337
S 5.037 1.803 1.754
```

Calculated values
E above lowest polymorph: 18 meV per atom
total moment: 0.428 μB per atom
formation energy (no corrections): -0.93 eV per atom


# 12
DFT (PBE) results for crystalline Co2SiTe at its relaxed geometry.

Cell and atoms, written as extended XYZ:
```
4
Lattice="1.537 0.887 7.211 -1.537 0.887 7.211 0.000 -1.775 7.211" Properties=species:S:1:pos:R:3 pbc="T T T"
Co 0.000 0.000 5.168
Co 0.000 0.000 16.466
Si 0.000 0.000 10.817
Te 0.000 0.000 0.000
```

Calculated values
E above lowest polymorph: 238 meV per atom
total moment: 0.104 μB per atom
formation energy (no corrections): 0.19 eV per atom


# 13
DFT (PBE) results for crystalline Sm8Te4P3H at its relaxed geometry.

Cell and atoms, written as extended XYZ:
```
16
Lattice="4.173 2.409 7.172 -4.173 2.409 7.172 0.000 -4.818 7.172" Properties=species:S:1:pos:R:3 pbc="T T T"
Sm -2.124 -1.226 12.297
Sm 0.000 0.000 5.087
Sm 0.000 -2.453 9.220
Sm -2.124 1.226 9.220
Sm 2.124 -1.226 12.297
Sm 0.000 2.453 12.297
Sm 0.000 0.000 16.430
Sm 2.124 1.226 9.220
Te 0.000 0.000 0.000
Te -2.086 -1.205 7.172
Te -2.086 1.205 14.345
Te 0.000 2.409 7.172
P -4.173 0.000 10.759
P -2.086 1.205 3.586
P 2.086 1.205 3.586
H 0.000 0.000 10.759
```

Calculated values
total moment: 0.000 μB per atom
electronic total energy: -5.720 eV/atom


# 14
DFT (PBE) results for crystalline Ca5Cu at its relaxed geometry.

Cell and atoms, written as extended XYZ:
```
6
Lattice="6.920 0.000 0.000 -3.460 5.993 0.000 0.000 0.000 6.395" Properties=species:S:1:pos:R:3 pbc="T T T"
Ca -1.730 2.997 0.000
Ca 0.000 3.995 3.198
Ca 3.460 0.000 0.000
Ca 1.730 2.997 0.000
Ca 3.460 1.998 3.198
Cu 0.000 0.000 3.198
```

Calculated values
E above lowest polymorph: 592 meV per atom
total moment: 0.000 μB per atom


# 15
DFT (PBE) results for crystalline BaPr6 at its relaxed geometry.

Cell and atoms, written as extended XYZ:
```
7
Lattice="-4.266 4.266 4.266 4.266 -4.266 4.266 4.266 4.266 -4.266" Properties=species:S:1:pos:R:3 pbc="T T T"
Ba 0.000 0.000 0.000
Pr 4.266 2.133 0.000
Pr 4.266 0.000 2.133
Pr 2.133 4.266 0.000
Pr 2.133 0.000 4.266
Pr 0.000 4.266 2.133
Pr 0.000 2.133 4.266
```

Calculated values
total moment: 0.000 μB per atom
electronic total energy: -3.436 eV/atom


# 16
DFT (PBE) results for crystalline HoFeCoB2 at its relaxed geometry.

Cell and atoms, written as extended XYZ:
```
5
Lattice="-1.803 1.803 4.593 1.803 -1.803 4.593 1.803 1.803 -4.593" Properties=species:S:1:pos:R:3 pbc="T T T"
Ho 0.000 0.000 0.000
Fe 0.000 1.803 2.296
Co 1.803 0.000 2.296
B 0.000 0.000 3.134
B 0.000 0.000 6.052
```

Calculated values
total moment: 0.000 μB per atom
electronic total energy: -7.225 eV/atom


# 17
DFT (PBE) results for crystalline Th3Al7Pd4 at its relaxed geometry.

Cell and atoms, written as extended XYZ:
```
14
Lattice="7.943 -2.183 0.000 7.943 2.183 0.000 -5.457 0.000 7.904" Properties=species:S:1:pos:R:3 pbc="T T T"
Th 0.000 0.000 0.000
Th 3.238 0.000 2.467
Th 7.192 0.000 5.437
Al -2.729 0.000 3.952
Al 0.109 0.000 3.339
Al -0.201 0.000 7.704
Al 4.018 0.000 5.613
Al 6.411 0.000 2.291
Al 10.630 0.000 0.200
Al 10.320 0.000 4.565
Pd -2.687 0.000 6.693
Pd 1.508 0.000 5.705
Pd 8.921 0.000 2.199
Pd 13.116 0.000 1.211
```

Calculated values
total moment: 0.000 μB per atom
electronic total energy: -5.687 eV/atom


# 18
DFT (PBE) results for crystalline Zr6Tl2Sn at its relaxed geometry.

Cell and atoms, written as extended XYZ:
```
18
Lattice="8.814 0.000 0.000 0.000 9.339 0.000 0.000 0.000 5.032" Properties=species:S:1:pos:R:3 pbc="T T T"
Zr 0.017 1.571 0.000
Zr 1.437 3.856 2.516
Zr 1.505 0.679 2.516
Zr 2.902 5.348 0.000
Zr 2.970 8.525 0.000
Zr 4.390 6.240 2.516
Zr 4.424 3.099 2.516
Zr 5.844 0.814 0.000
Zr 5.912 3.991 0.000
Zr 7.309 8.660 2.516
Zr 7.377 5.483 2.516
Zr 8.797 7.768 0.000
Tl 1.473 6.974 2.516
Tl 2.934 2.304 0.000
Tl 5.880 7.035 0.000
Tl 7.341 2.365 2.516
Sn 0.000 4.669 0.000
Sn 4.407 0.000 2.516
```

Calculated values
total moment: 0.000 μB per atom
electronic total energy: -6.809 eV/atom


# 19
DFT (PBE) results for crystalline Ba2PrWN4 at its relaxed geometry.

Cell and atoms, written as extended XYZ:
```
16
Lattice="7.843 0.000 0.000 0.000 7.413 0.000 0.000 0.000 5.975" Properties=species:S:1:pos:R:3 pbc="T T T"
Ba 1.964 1.175 0.000
Ba 1.957 6.238 2.988
Ba 5.878 1.175 0.000
Ba 5.886 6.238 2.988
Pr 0.000 2.626 3.071
Pr 3.921 4.787 0.083
W 0.000 4.831 0.183
W 3.921 2.582 3.171
N 0.000 3.064 5.430
N 0.000 4.696 2.062
N 1.608 5.763 5.741
N 2.313 1.650 2.754
N 3.921 2.717 5.050
N 3.921 4.349 2.442
N 5.530 1.650 2.754
N 6.234 5.763 5.741
```

Calculated values
total moment: 0.119 μB per atom
formation energy (no corrections): -0.87 eV per atom


# 20
DFT (PBE) results for crystalline TiBeC3 at its relaxed geometry.

Cell and atoms, written as extended XYZ:
```
5
Lattice="3.988 0.000 0.000 0.000 3.988 0.000 0.000 0.000 3.988" Properties=species:S:1:pos:R:3 pbc="T T T"
Ti 0.000 0.000 0.000
Be 1.994 1.994 1.994
C 0.000 0.000 1.994
C 0.000 1.994 0.000
C 1.994 0.000 0.000
```

Calculated values
E above lowest polymorph: 623 meV per atom
total moment: 0.000 μB per atom


# 21
DFT (PBE) results for crystalline K3CaBe at its relaxed geometry.

Cell and atoms, written as extended XYZ:
```
5
Lattice="6.485 0.000 0.000 0.000 6.485 0.000 0.000 0.000 6.485" Properties=species:S:1:pos:R:3 pbc="T T T"
K 0.000 0.000 3.243
K 0.000 3.243 0.000
K 3.243 0.000 0.000
Ca 3.243 3.243 3.243
Be 0.000 0.000 0.000
```

Calculated values
E above lowest polymorph: 0 meV per atom
total moment: 0.000 μB per atom


# 22
DFT (PBE) results for crystalline Tl3Pd8 at its relaxed geometry.

Cell and atoms, written as extended XYZ:
```
11
Lattice="4.602 2.657 3.121 -4.602 2.657 3.121 0.000 -5.314 3.121" Properties=species:S:1:pos:R:3 pbc="T T T"
Tl -2.301 -1.328 3.121
Tl -2.301 1.328 6.241
Tl 0.000 2.657 3.121
Pd -3.012 -3.009 5.171
Pd -4.112 1.104 4.192
Pd 1.100 -4.113 4.192
Pd 0.000 0.000 3.333
Pd 0.000 0.000 6.029
Pd -1.100 4.113 5.171
Pd 4.112 -1.104 5.171
Pd 3.012 3.009 4.192
```

Calculated values
total moment: 0.000 μB per atom
electronic total energy: -4.268 eV/atom


# 23
DFT (PBE) results for crystalline GaCoSiNi2 at its relaxed geometry.

Cell and atoms, written as extended XYZ:
```
5
Lattice="4.322 0.000 0.000 0.000 4.322 0.000 0.000 0.000 4.380" Properties=species:S:1:pos:R:3 pbc="T T T"
Ga 0.000 0.000 0.000
Co 0.000 0.000 2.190
Si 2.161 2.161 0.000
Ni 0.000 2.161 2.190
Ni 2.161 0.000 2.190
```

Calculated values
total moment: 0.498 μB per atom
formation energy (no corrections): 0.83 eV per atom